# 1
MnZn2W after structural relaxation, computed with PBE.

VASP energy: -5.8752 eV per atom
symmetry: No. 166
energy above the lowest structure with this stoichiometry: 146 meV/atom
volume: 14.97 A^3/atom
DFT formation energy: 292 meV per atom

Cell: 9.057 9.057 9.057 Å, 17.69 17.69 17.69°
Sites, in units of the cell vectors:
Mn (0.000, 0.000, 0.000)
Zn (0.253, 0.253, 0.253)
Zn (0.747, 0.747, 0.747)
W (0.500, 0.500, 0.500)

=====

# 2
MnZn2W after structural relaxation, computed with PBE.

VASP energy: -5.9834 eV per atom
symmetry: No. 6
energy above the lowest structure with this stoichiometry: 37 meV/atom
volume: 14.12 A^3/atom
DFT formation energy: 184 meV per atom

Cell: 2.684 4.228 5.010 Å, 90.00 96.45 90.00°
Sites, in units of the cell vectors:
Mn (0.000, 0.000, 0.000)
Zn (0.364, 0.500, 0.756)
Zn (0.400, 0.000, 0.494)
W (0.816, 0.500, 0.244)

=====

# 3
MnZn2W after structural relaxation, computed with PBE.

VASP energy: -5.9323 eV per atom
symmetry: No. 123
energy above the lowest structure with this stoichiometry: 89 meV/atom
volume: 14.01 A^3/atom
DFT formation energy: 235 meV per atom

Cell: 3.682 3.682 4.133 Å, 90.00 90.00 90.00°
Sites, in units of the cell vectors:
Mn (0.000, 0.000, 0.000)
Zn (0.000, 0.500, 0.500)
Zn (0.500, 0.000, 0.500)
W (0.500, 0.500, 0.000)

=====

# 4
Mn2ZnW after structural relaxation, computed with PBE.

VASP energy: -7.8905 eV per atom
symmetry: No. 12
volume: 13.32 A^3/atom
DFT formation energy: 251 meV per atom

Cell: 4.939 4.939 2.602 Å, 101.43 101.43 115.36°
Sites, in units of the cell vectors:
Mn (0.000, 0.500, 0.000)
Mn (0.500, 0.000, 0.000)
Zn (0.000, 0.000, 0.500)
W (0.500, 0.500, 0.500)

=====

# 5
Mn2ZnW after structural relaxation, computed with PBE.

VASP energy: -7.9844 eV per atom
symmetry: No. 99
volume: 13.39 A^3/atom
DFT formation energy: 157 meV per atom

Cell: 2.681 2.681 7.448 Å, 90.00 90.00 90.00°
Sites, in units of the cell vectors:
Mn (0.000, 0.000, 0.000)
Mn (0.500, 0.500, 0.204)
Zn (0.500, 0.500, 0.750)
W (0.000, 0.000, 0.469)

=====

# 6
MnZn2W after structural relaxation, computed with PBE.

VASP energy: -5.9120 eV per atom
symmetry: No. 119
energy above the lowest structure with this stoichiometry: 109 meV/atom
volume: 13.81 A^3/atom
DFT formation energy: 256 meV per atom

Cell: 4.276 4.276 4.276 Å, 120.08 120.08 89.85°
Sites, in units of the cell vectors:
Mn (0.000, 0.000, 0.000)
Zn (0.500, 0.500, 0.000)
Zn (0.750, 0.250, 0.500)
W (0.250, 0.750, 0.500)

=====

# 7
MnZn2W after structural relaxation, computed with PBE.

VASP energy: -5.4778 eV per atom
symmetry: No. 122
energy above the lowest structure with this stoichiometry: 543 meV/atom
volume: 15.31 A^3/atom
DFT formation energy: 690 meV per atom

Cell: 5.518 5.518 5.518 Å, 102.48 102.48 124.59°
Sites, in units of the cell vectors:
Mn (0.000, 0.000, 0.000)
Mn (0.750, 0.250, 0.500)
Zn (0.111, 0.625, 0.986)
Zn (0.375, 0.361, 0.486)
Zn (0.639, 0.125, 0.014)
Zn (0.875, 0.889, 0.514)
W (0.250, 0.750, 0.500)
W (0.500, 0.500, 0.000)

=====

# 8
MnZn2W after structural relaxation, computed with PBE.

VASP energy: -6.0148 eV per atom
symmetry: No. 99
energy above the lowest structure with this stoichiometry: 6 meV/atom
volume: 14.08 A^3/atom
DFT formation energy: 153 meV per atom

Cell: 3.021 3.021 6.171 Å, 90.00 90.00 90.00°
Sites, in units of the cell vectors:
Mn (0.000, 0.000, 0.000)
Zn (0.000, 0.000, 0.493)
Zn (0.500, 0.500, 0.743)
W (0.500, 0.500, 0.201)

=====

# 9
MnZn2W after structural relaxation, computed with PBE.

VASP energy: -5.9139 eV per atom
symmetry: No. 12
energy above the lowest structure with this stoichiometry: 107 meV/atom
volume: 14.00 A^3/atom
DFT formation energy: 254 meV per atom

Cell: 5.091 5.091 4.168 Å, 113.74 113.74 34.87°
Sites, in units of the cell vectors:
Mn (0.000, 0.000, 0.000)
Zn (0.260, 0.260, 0.760)
Zn (0.740, 0.740, 0.240)
W (0.500, 0.500, 0.500)

=====

# 10
Mn2ZnW after structural relaxation, computed with PBE.

VASP energy: -7.9655 eV per atom
symmetry: No. 8
volume: 13.08 A^3/atom
DFT formation energy: 176 meV per atom

Cell: 4.912 4.912 4.089 Å, 114.51 114.51 36.12°
Sites, in units of the cell vectors:
Mn (0.000, 0.000, 0.000)
Mn (0.737, 0.737, 0.238)
Zn (0.486, 0.486, 0.486)
W (0.253, 0.253, 0.754)

=====

# 11
Mn2ZnW after structural relaxation, computed with PBE.

VASP energy: -7.9393 eV per atom
symmetry: No. 25
volume: 13.55 A^3/atom
DFT formation energy: 202 meV per atom

Cell: 2.661 3.813 5.344 Å, 90.00 90.00 90.00°
Sites, in units of the cell vectors:
Mn (0.000, 0.000, 0.000)
Mn (0.500, 0.500, 0.248)
Zn (0.500, 0.500, 0.765)
W (0.000, 0.000, 0.491)

=====

# 12
MnZn2W after structural relaxation, computed with PBE.

VASP energy: -5.6043 eV per atom
symmetry: No. 225
energy above the lowest structure with this stoichiometry: 416 meV/atom
volume: 13.59 A^3/atom
DFT formation energy: 563 meV per atom

Cell: 4.252 4.252 4.252 Å, 60.00 60.00 60.00°
Sites, in units of the cell vectors:
Mn (0.000, 0.000, 0.000)
Zn (0.250, 0.250, 0.250)
Zn (0.750, 0.750, 0.750)
W (0.500, 0.500, 0.500)